PBE MgBeNi2, relaxed; SG = Pmm2; energy of formation from the pure elements = -0.0854 eV per atom; Fermi-level density of states = 2.7 states/eV per cell
1.0
-1.970 1.461 -1.554
0.602 -1.593 -2.261
-4.097 -3.821 1.600
Mg Ni Be
1 2 1
Direct
0.500 0.500 0.751
0.000 0.000 0.033
0.500 0.500 0.284
0.000 0.000 0.432

---

PBE MgBeNi2, relaxed; SG = F-43m; energy of formation from the pure elements = -0.0287 eV per atom; Fermi-level density of states = 3.1 states/eV per cell
1.0
-0.877 -2.346 3.175
0.099 -4.026 -0.372
2.924 -2.127 1.811
Ni Be Mg
2 1 1
Direct
0.000 0.000 0.000
0.750 0.750 0.750
0.500 0.500 0.500
0.250 0.250 0.250